[1]
# TlPHO2

Crystalline TlPHO2 at its relaxed geometry (GGA-PBEsol, Alexandria).

The structure in POSCAR format:
```
TlPHO2
1.0
3.058 0.000 0.000
0.000 4.225 0.000
0.000 0.000 4.225
P Tl O H
1 1 2 1
Cartesian
1.529 0.000 0.000 P
1.529 2.112 2.112 Tl
0.000 0.000 2.112 O
0.000 2.112 0.000 O
0.000 0.000 0.000 H
```

Output
**Space-group type**: P4/mmm
**E_tot**: -20.1 eV per cell
**Energy above the most stable polymorph in this dataset**: 0.000 eV per atom
**Total moment**: 0.00 μB per atom
**Density of states at the Fermi level**: 1.77 states/eV/cell



[2]
# TlPHO2

Crystalline TlPHO2 at its relaxed geometry (GGA-PBEsol, Alexandria).

The structure in POSCAR format:
```
TlPHO2
1.0
4.080 0.000 0.000
0.000 4.080 0.000
0.000 0.000 5.629
P Tl O H
1 1 2 1
Cartesian
0.000 0.000 2.815 P
0.000 0.000 0.000 Tl
0.000 2.040 0.000 O
2.040 0.000 0.000 O
2.040 2.040 2.815 H
```

Output
**Space-group type**: P4/mmm
**E_tot**: -16.2 eV per cell
**Energy above the most stable polymorph in this dataset**: 0.797 eV per atom
**Total moment**: 0.39 μB per atom
**Density of states at the Fermi level**: 4.10 states/eV/cell



[3]
# TlPH2O4

Crystalline TlPH2O4 at its relaxed geometry (GGA-PBEsol, Alexandria).

The structure in POSCAR format:
```
TlPH2O4
1.0
-4.209 -4.273 2.279
-1.447 -3.028 -8.347
11.261 -8.168 5.479
Tl P H O
8 8 16 32
Cartesian
7.501 -11.027 -2.509 Tl
3.828 -8.430 4.609 Tl
-1.896 -4.442 1.920 Tl
1.777 -7.039 -5.197 Tl
7.896 -9.497 1.684 Tl
3.156 -10.243 0.566 Tl
-2.290 -5.972 -2.273 Tl
2.449 -5.226 -1.155 Tl
4.859 -8.671 -2.943 P
6.458 -10.800 5.050 P
0.747 -6.798 2.354 P
-0.853 -4.669 -5.638 P
5.475 -7.135 1.299 P
5.737 -12.442 0.865 P
0.130 -8.334 -1.887 P
-0.132 -3.027 -1.453 P
3.207 -7.020 1.687 H
5.973 -14.621 1.577 H
2.399 -8.449 -2.276 H
-0.368 -0.848 -2.165 H
5.195 -4.881 0.811 H
-3.288 -4.542 -5.185 H
0.410 -10.588 -1.399 H
8.893 -10.927 4.597 H
5.689 -8.567 -0.820 H
5.444 -11.090 3.027 H
-0.084 -6.902 0.232 H
0.162 -4.378 -3.615 H
6.511 -7.032 3.581 H
4.619 -12.628 -1.373 H
-0.906 -8.436 -4.169 H
0.987 -2.841 0.784 H
5.321 -7.206 -3.015 O
7.708 -10.527 4.195 O
0.284 -8.263 2.427 O
-2.102 -4.942 -4.783 O
5.634 -9.515 -4.015 O
6.113 -9.519 5.889 O
-0.029 -5.954 3.427 O
-0.507 -5.950 -6.478 O
3.354 -8.846 -3.170 O
6.621 -11.987 6.003 O
2.251 -6.623 2.581 O
-1.015 -3.482 -6.592 O
5.303 -9.261 -1.556 O
5.234 -11.001 4.084 O
0.302 -6.208 0.967 O
0.371 -4.468 -4.673 O
5.773 -5.603 1.424 O
6.976 -12.413 -0.093 O
-0.168 -9.866 -2.012 O
-1.371 -3.055 -0.496 O
6.264 -7.749 0.132 O
5.635 -11.131 1.660 O
-0.658 -7.720 -0.720 O
-0.030 -4.338 -2.249 O
3.957 -7.336 0.972 O
5.926 -13.591 1.912 O
1.648 -8.133 -1.560 O
-0.321 -1.878 -2.500 O
5.865 -7.785 2.639 O
4.490 -12.662 -0.012 O
-0.260 -7.684 -3.228 O
1.115 -2.807 -0.577 O
```

Output
**Space-group type**: P2_1/c
**E_tot**: -389.6 eV per cell
**Total moment**: 0.00 μB per atom
**Density of states at the Fermi level**: 0.00 states/eV/cell



[4]
# TlPH2O4

Crystalline TlPH2O4 at its relaxed geometry (GGA-PBEsol, Alexandria).

The structure in POSCAR format:
```
TlPH2O4
1.0
-0.324 3.805 -2.309
-2.602 -3.191 -4.894
-13.128 2.235 5.523
H O P Tl
8 16 4 4
Cartesian
-6.564 1.117 2.761 H
-1.463 0.307 -3.602 H
-7.865 -0.478 0.315 H
-0.162 1.903 -1.155 H
-12.643 -0.573 0.828 H
-9.813 2.637 1.408 H
-3.087 -0.383 -0.198 H
-6.241 0.212 -3.088 H
-8.165 -1.492 -2.443 O
-2.090 0.184 -2.587 O
-7.477 2.453 -2.405 O
-1.248 2.317 -1.449 O
-7.889 4.341 0.763 O
-13.964 2.665 0.907 O
-8.577 0.395 0.724 O
-14.806 0.531 -0.232 O
-6.492 0.868 -4.068 O
-3.586 2.243 -2.330 O
-5.908 -0.459 -2.143 O
-2.993 0.810 -0.342 O
-9.562 1.980 2.388 O
-12.468 0.606 0.650 O
-10.146 3.307 0.463 O
-13.061 2.038 -1.339 O
-6.867 -1.557 -1.602 P
-2.461 1.385 -1.685 P
-8.863 0.600 2.231 P
-13.593 1.463 0.004 P
-3.714 -2.093 -2.929 Tl
-5.614 1.922 -0.358 Tl
-12.016 1.137 3.558 Tl
-10.440 0.927 -1.322 Tl
```

Output
**Space-group type**: Pbcn
**E_tot**: -194.7 eV per cell
**Total moment**: 0.00 μB per atom
**Density of states at the Fermi level**: 0.00 states/eV/cell